Here is a relaxed Ac3Tm2Pb3 crystal from Alexandria via LeMat-Bulk. Energies are from GGA-PBE.

Cell: 9.6552 9.6552 6.8811 Å, 90.00 90.00 120.00°
Last column: nearest neighbours and their distance in Å.
Sites, in units of the cell vectors:
Ac (0.0000, 0.2460, 0.2500)  5 Pb 3.38-3.75
Ac (0.0000, 0.7540, 0.7500)  5 Pb 3.38-3.75
Ac (0.2460, 0.0000, 0.2500)  5 Pb 3.38-3.75
Ac (0.2460, 0.2460, 0.7500)  5 Pb 3.38-3.75
Ac (0.7540, 0.0000, 0.7500)  5 Pb 3.38-3.75
Ac (0.7540, 0.7540, 0.2500)  5 Pb 3.38-3.75
Tm (0.3333, 0.6667, 0.0000)  6 Pb 3.41, 2 Tm 3.44
Tm (0.3333, 0.6667, 0.5000)  6 Pb 3.41, 2 Tm 3.44
Tm (0.6667, 0.3333, 0.0000)  6 Pb 3.41, 2 Tm 3.44
Tm (0.6667, 0.3333, 0.5000)  6 Pb 3.41, 2 Tm 3.44
Pb (0.0000, 0.4011, 0.7500)  5 Ac 3.38-3.75, 4 Tm 3.41
Pb (0.0000, 0.5989, 0.2500)  5 Ac 3.38-3.75, 4 Tm 3.41
Pb (0.4011, 0.0000, 0.7500)  5 Ac 3.38-3.75, 4 Tm 3.41
Pb (0.4011, 0.4011, 0.2500)  5 Ac 3.38-3.75, 4 Tm 3.41
Pb (0.5989, 0.0000, 0.2500)  5 Ac 3.38-3.75, 4 Tm 3.41
Pb (0.5989, 0.5989, 0.7500)  5 Ac 3.38-3.75, 4 Tm 3.41

Computed properties:
For the formation energy, the calculation gives -461 meV/atom. Its volume is 34.7 Å³ per atom. Its energy above the most stable polymorph in this dataset is 0 meV per atom. For the total magnetization, the calculation gives 0.00 μB per cell. The calculation puts the total energy at -72.2 eV per cell.